! PBE LiRe3Te, relaxed; values from VASP
&SYSTEM
  ibrav = 0, nat = 5, ntyp = 3
/
ATOMIC_SPECIES
Li 6.94 Li.upf
Re 186.21 Re.upf
Te 127.60 Te.upf
CELL_PARAMETERS angstrom
4.8617 0.0000 0.0000
0.0000 4.8617 0.0000
0.0000 0.0000 4.8617
ATOMIC_POSITIONS crystal
Li 0.0000 0.0000 0.0000
Re 0.0000 0.5000 0.5000
Re 0.5000 0.0000 0.5000
Re 0.5000 0.5000 0.0000
Te 0.5000 0.5000 0.5000
! SG: No. 221
! Energy relative to the elements, uncorrected, meV/atom: 2400
! Electronic total energy, eV per atom: -6.080
! Excess energy over the best structure of this formula in the dataset, meV per atom: 710

! PBE LiReTe3, relaxed; values from VASP
&SYSTEM
  ibrav = 0, nat = 5, ntyp = 3
/
ATOMIC_SPECIES
Li 6.94 Li.upf
Re 186.21 Re.upf
Te 127.60 Te.upf
CELL_PARAMETERS angstrom
5.3616 0.0000 0.0000
0.0000 5.3616 0.0000
0.0000 0.0000 5.3616
ATOMIC_POSITIONS crystal
Li 0.0000 0.0000 0.0000
Re 0.5000 0.5000 0.5000
Te 0.0000 0.5000 0.5000
Te 0.5000 0.0000 0.5000
Te 0.5000 0.5000 0.0000
! SG: No. 221
! Energy relative to the elements, uncorrected, meV/atom: 462
! Electronic total energy, eV per atom: -4.296
! Excess energy over the best structure of this formula in the dataset, meV per atom: 0

! PBE LiRe2Te, relaxed; values from VASP
&SYSTEM
  ibrav = 0, nat = 4, ntyp = 3
/
ATOMIC_SPECIES
Li 6.94 Li.upf
Re 186.21 Re.upf
Te 127.60 Te.upf
CELL_PARAMETERS angstrom
1.5732 -2.3878 0.0000
1.5732 2.3878 0.0000
0.0000 0.0000 9.5579
ATOMIC_POSITIONS crystal
Li 0.0000 0.0000 0.0000
Re 0.0000 0.0000 0.4439
Re 0.5000 0.5000 0.2356
Te 0.5000 0.5000 0.7389
! SG: No. 35
! Energy relative to the elements, uncorrected, meV/atom: 571
! Electronic total energy, eV per atom: -6.917
! Excess energy over the best structure of this formula in the dataset, meV per atom: 292

! PBE LiRe2Te, relaxed; values from VASP
&SYSTEM
  ibrav = 0, nat = 4, ntyp = 3
/
ATOMIC_SPECIES
Li 6.94 Li.upf
Re 186.21 Re.upf
Te 127.60 Te.upf
CELL_PARAMETERS angstrom
4.2864 0.0000 0.0000
0.0000 4.2864 0.0000
0.0000 0.0000 3.3743
ATOMIC_POSITIONS crystal
Li 0.0000 0.0000 0.0000
Re 0.0000 0.5000 0.5000
Re 0.5000 0.0000 0.5000
Te 0.5000 0.5000 0.0000
! SG: No. 123
! Energy relative to the elements, uncorrected, meV/atom: 792
! Electronic total energy, eV per atom: -6.695
! Excess energy over the best structure of this formula in the dataset, meV per atom: 513

! PBE LiRe2Te, relaxed; values from VASP
&SYSTEM
  ibrav = 0, nat = 4, ntyp = 3
/
ATOMIC_SPECIES
Li 6.94 Li.upf
Re 186.21 Re.upf
Te 127.60 Te.upf
CELL_PARAMETERS angstrom
1.5171 0.8759 8.5941
-1.5171 0.8759 8.5941
0.0000 -1.7518 8.5941
ATOMIC_POSITIONS crystal
Li 0.0000 0.0000 0.0000
Re 0.2454 0.2454 0.2454
Re 0.7546 0.7546 0.7546
Te 0.5000 0.5000 0.5000
! SG: No. 166
! Energy relative to the elements, uncorrected, meV/atom: 930
! Electronic total energy, eV per atom: -6.557
! Excess energy over the best structure of this formula in the dataset, meV per atom: 651

! PBE LiRe2Te2, relaxed; values from VASP
&SYSTEM
  ibrav = 0, nat = 5, ntyp = 3
/
ATOMIC_SPECIES
Li 6.94 Li.upf
Re 186.21 Re.upf
Te 127.60 Te.upf
CELL_PARAMETERS angstrom
-2.5172 2.5172 4.4539
2.5172 -2.5172 4.4539
2.5172 2.5172 -4.4539
ATOMIC_POSITIONS crystal
Li 0.0000 0.0000 0.0000
Re 0.3706 0.3706 0.0000
Re 0.6294 0.6294 0.0000
Te 0.2500 0.7500 0.5000
Te 0.7500 0.2500 0.5000
! SG: No. 139
! Energy relative to the elements, uncorrected, meV/atom: 488
! Electronic total energy, eV per atom: -6.131
! Excess energy over the best structure of this formula in the dataset, meV per atom: 0